(1)
Entry from Alexandria: a relaxed Pm2DyEr3As6 crystal (GGA-PBE).

Space group: No. 12
E in eV for the cell shown: -73.91
E_form in eV/atom: -1.519

The structure in POSCAR format:
```
Pm2DyEr3As6
1.0
4.143 0.000 0.000
0.000 8.273 0.300
-2.072 -2.379 8.702
Pm Dy Er As
2 1 3 6
Direct
0.834 0.668 0.668
0.166 0.332 0.332
0.500 0.000 0.000
0.500 0.500 0.000
0.833 0.166 0.666
0.167 0.834 0.334
0.333 0.923 0.666
0.665 0.589 0.329
0.667 0.077 0.334
0.998 0.250 0.995
0.002 0.750 0.005
0.335 0.411 0.671
```

(2)
Entry from Alexandria: a relaxed Pm2DyErAs4 crystal (GGA-PBE).

Space group: No. 10
E in eV for the cell shown: -49.45
E_form in eV/atom: -1.523

The structure in POSCAR format:
```
Pm2DyErAs4
1.0
-1.792 -1.634 3.396
-5.129 -2.957 -4.130
2.084 -6.597 -2.075
Pm Dy Er As
2 1 1 4
Direct
0.000 0.000 0.000
0.500 0.000 0.500
0.000 0.500 0.500
0.500 0.500 0.000
0.000 0.741 0.754
0.000 0.259 0.246
0.500 0.742 0.252
0.500 0.258 0.748
```

Please write out number 2 again, unchanged.
Entry from Alexandria: a relaxed Pm2DyErAs4 crystal (GGA-PBE).

Space group: No. 10
E in eV for the cell shown: -49.45
E_form in eV/atom: -1.523

The structure in POSCAR format:
```
Pm2DyErAs4
1.0
-1.792 -1.634 3.396
-5.129 -2.957 -4.130
2.084 -6.597 -2.075
Pm Dy Er As
2 1 1 4
Direct
0.000 0.000 0.000
0.500 0.000 0.500
0.000 0.500 0.500
0.500 0.500 0.000
0.000 0.741 0.754
0.000 0.259 0.246
0.500 0.742 0.252
0.500 0.258 0.748
```

Please write out number 2 again, unchanged.
Entry from Alexandria: a relaxed Pm2DyErAs4 crystal (GGA-PBE).

Space group: No. 10
E in eV for the cell shown: -49.45
E_form in eV/atom: -1.523

The structure in POSCAR format:
```
Pm2DyErAs4
1.0
-1.792 -1.634 3.396
-5.129 -2.957 -4.130
2.084 -6.597 -2.075
Pm Dy Er As
2 1 1 4
Direct
0.000 0.000 0.000
0.500 0.000 0.500
0.000 0.500 0.500
0.500 0.500 0.000
0.000 0.741 0.754
0.000 0.259 0.246
0.500 0.742 0.252
0.500 0.258 0.748
```

- Among the records above, which one has the highest E?
  Pm2DyErAs4

- What is the E_form in the second record?
  -1.523 eV/atom